{"formula": "V4Cr3", "functional": "PBE", "state": "optimized geometry", "lattice": [[2.914, 0.000, 0.000], [-1.457, 4.597, -0.645], [0.000, -0.007, 6.556]], "species": ["V", "V", "V", "V", "Cr", "Cr", "Cr"], "frac_coords": [[0.851, 0.702, 0.568], [0.431, 0.863, 0.281], [0.570, 0.140, 0.714], [0.289, 0.577, 0.866], [0.144, 0.289, 0.425], [0.004, 0.007, 0.002], [0.711, 0.421, 0.144]], "e_above_lowest_polymorph_ev_per_atom": 0.000, "dft_energy_ev_per_cell": -65.8, "crystal_system": "monoclinic", "spacegroup": "Cm", "delta_e_f_kcal_per_mol_atoms": -1.5, "vol_a3_per_atom": 12.5}